[1]
This record from the Alexandria database describes a relaxed TbPmHg crystal. The functional is PBE.

Output
**VASP energy**: -3.41 eV per atom
**Energy above the most stable polymorph in this dataset**: 0.364 eV/f.u.
**Formation enthalpy at 0 K**: -0.183 eV per atom

Unit cell a=3.8198 b=5.1752 c=5.1752 alpha=120.00 beta=90.00 gamma=90.00
Element x y z (fractional)
Pm  0.0346  0.0000  0.0000
Hg  0.3877  0.3333  0.6667
Tb  0.5777  0.6667  0.3333

=====

[2]
This record from the Alexandria database describes a relaxed TbPm6Hg crystal. The functional is PBE.

Output
**VASP energy**: -4.25 eV per atom
**Formation enthalpy at 0 K**: -0.066 eV per atom

Unit cell a=4.9740 b=4.9740 c=10.2675 alpha=90.00 beta=90.00 gamma=90.00
Element x y z (fractional)
Pm  0.5000  0.0000  0.2566
Pm  0.5000  0.5000  0.5000
Tb  0.0000  0.0000  0.0000
Pm  0.0000  0.5000  0.2566
Pm  0.5000  0.5000  0.0000
Hg  0.0000  0.0000  0.5000
Pm  0.5000  0.0000  0.7434
Pm  0.0000  0.5000  0.7434

=====

[3]
This record from the Alexandria database describes a relaxed Tb5Pm4Hg4 crystal. The functional is PBE.

Output
**VASP energy**: -3.65 eV per atom
**Formation enthalpy at 0 K**: -0.315 eV per atom

Unit cell a=5.2602 b=8.9288 c=8.9288 alpha=85.02 beta=72.87 gamma=72.87
Element x y z (fractional)
Pm  0.9006  0.4871  0.7118
Tb  0.6813  0.9335  0.7040
Pm  0.6124  0.2882  0.4871
Pm  0.3876  0.7118  0.5129
Tb  0.3853  0.2960  0.9335
Tb  0.6147  0.7040  0.0665
Hg  0.7665  0.3370  0.1300
Hg  0.8965  0.8700  0.3370
Tb  0.3187  0.0665  0.2960
Hg  0.1035  0.1300  0.6630
Pm  0.0994  0.5129  0.2882
Tb  0.0000  0.0000  0.0000
Hg  0.2335  0.6630  0.8700

=====

[4]
This record from the Alexandria database describes a relaxed Tb6PmHg crystal. The functional is PBE.

Output
**VASP energy**: -4.11 eV per atom
**Formation enthalpy at 0 K**: -0.010 eV per atom

Unit cell a=9.3340 b=8.5700 c=6.3337 alpha=47.44 beta=42.55 gamma=56.99
Element x y z (fractional)
Tb  0.7604  0.9592  0.7201
Tb  0.2396  0.0408  0.2799
Tb  0.0410  0.4400  0.7587
Hg  0.0000  0.0000  0.0000
Tb  0.5604  0.2397  0.1594
Pm  0.5000  0.5000  0.5000
Tb  0.9590  0.5600  0.2413
Tb  0.4396  0.7603  0.8406

=====

[5]
This record from the Alexandria database describes a relaxed Tb2PmHg6 crystal. The functional is PBE.

Output
**VASP energy**: -2.16 eV per atom
**Formation enthalpy at 0 K**: -0.405 eV per atom

Unit cell a=3.4533 b=8.6403 c=8.6403 alpha=120.00 beta=90.00 gamma=90.00
Each line ends with the local moment (μB).
Element x y z (fractional)
Hg  0.5000  0.3348  0.0000  0.00
Hg  0.5000  0.6652  0.6652  0.00
Pm  0.0000  0.0000  0.0000  0.10
Hg  0.5000  0.3348  0.3348  0.00
Tb  0.0000  0.3333  0.6667  0.05
Hg  0.5000  0.6652  0.0000  0.00
Hg  0.5000  0.0000  0.6652  0.00
Hg  0.5000  0.0000  0.3348  0.00
Tb  0.0000  0.6667  0.3333  0.05

=====

[6]
This record from the Alexandria database describes a relaxed TbPm2Hg4 crystal. The functional is PBE.

Output
**VASP energy**: -2.54 eV per atom
**Energy above the most stable polymorph in this dataset**: 0.000 eV/f.u.
**Formation enthalpy at 0 K**: -0.346 eV per atom

Unit cell a=5.1609 b=5.1609 c=9.3883 alpha=74.05 beta=74.05 gamma=60.00
Element x y z (fractional)
Pm  0.2439  0.2439  0.2683
Hg  0.6281  0.6281  0.1158
Tb  0.0000  0.0000  0.0000
Hg  0.1263  0.1263  0.6211
Hg  0.8737  0.8737  0.3789
Pm  0.7561  0.7561  0.7317
Hg  0.3719  0.3719  0.8842

=====

[7]
This record from the Alexandria database describes a relaxed TbPmHg5 crystal. The functional is PBE.

Output
**VASP energy**: -1.84 eV per atom
**Formation enthalpy at 0 K**: -0.285 eV per atom

Unit cell a=5.1557 b=5.1557 c=7.0521 alpha=90.00 beta=90.00 gamma=90.00
Element x y z (fractional)
Hg  0.5000  0.0000  0.7715
Hg  0.5000  0.5000  0.5000
Hg  0.5000  0.0000  0.2285
Hg  0.0000  0.5000  0.7715
Tb  0.5000  0.5000  0.0000
Hg  0.0000  0.5000  0.2285
Pm  0.0000  0.0000  0.5000

=====

[8]
This record from the Alexandria database describes a relaxed TbPm4Hg5 crystal. The functional is PBE.

Output
**VASP energy**: -2.99 eV per atom
**Formation enthalpy at 0 K**: -0.475 eV per atom

Unit cell a=3.8027 b=3.8027 c=18.9314 alpha=90.00 beta=90.00 gamma=90.00
Each line ends with the local moment (μB).
Element x y z (fractional)
Pm  0.0000  0.0000  0.6009  0.21
Pm  0.0000  0.0000  0.1975  0.23
Hg  0.5000  0.5000  0.5000  0.02
Hg  0.5000  0.5000  0.2985  0.02
Hg  0.5000  0.5000  0.9058  0.02
Pm  0.0000  0.0000  0.8025  0.23
Hg  0.5000  0.5000  0.7015  0.02
Tb  0.0000  0.0000  0.0000  0.14
Hg  0.5000  0.5000  0.0942  0.02
Pm  0.0000  0.0000  0.3991  0.21

=====

The highest VASP energy belongs to which entry?
TbPmHg5

=====

Please write out number 4 again, unchanged.
This record from the Alexandria database describes a relaxed Tb6PmHg crystal. The functional is PBE.

Output
**VASP energy**: -4.11 eV per atom
**Formation enthalpy at 0 K**: -0.010 eV per atom

Unit cell a=9.3340 b=8.5700 c=6.3337 alpha=47.44 beta=42.55 gamma=56.99
Element x y z (fractional)
Tb  0.7604  0.9592  0.7201
Tb  0.2396  0.0408  0.2799
Tb  0.0410  0.4400  0.7587
Hg  0.0000  0.0000  0.0000
Tb  0.5604  0.2397  0.1594
Pm  0.5000  0.5000  0.5000
Tb  0.9590  0.5600  0.2413
Tb  0.4396  0.7603  0.8406

=====

Which value of formation enthalpy at 0 K does entry 6 give?
-0.346 eV per atom